A geometry-optimized TaS2BrN structure, computed with PBE-GGA.

Computed properties:
VASP energy = -5.8398 eV per atom
ΔE to the lowest computed polymorph = 0.0 kJ per mole of atoms
formation energy from raw total energies = 0.1813 eV/atom

Cell: 4.9343 4.9343 3.9742 Å, 90.00 90.00 90.00°
Last column: nearest neighbours and their distance in Å.
Space group P4/mmm (No. 123)
One atom of each set of equivalent atoms:
Ta: 0.0000 0.0000 0.0000  2 N 1.99
S: 0.0000 0.5000 0.0000  2 Ta 2.47
Br: 0.5000 0.5000 0.5000  8 S 3.17, 4 N 3.49
N: 0.0000 0.0000 0.5000  2 Ta 1.99


A geometry-optimized BaCa2Y2 structure, computed with PBE-GGA.

Computed properties:
VASP energy = -3.4295 eV per atom
ΔE to the lowest computed polymorph = 14.8 kJ per mole of atoms
energy relative to the elements = 0.34 eV per atom

Cell: 4.6784 4.6784 20.0964 Å, 90.00 90.00 90.00°
Last column: nearest neighbours and their distance in Å.
Space group I4/mmm (No. 139)
One atom of each set of equivalent atoms:
Ba: 0.0000 0.0000 0.0000  8 Ca 3.96
Ca: 0.0000 0.0000 0.3919  4 Y 3.69, 4 Ba 3.96
Y: 0.0000 0.5000 0.2500  4 Y 3.31, 4 Ca 3.69


A geometry-optimized TiAl2Pd structure, computed with PBE-GGA.

Computed properties:
VASP energy = -5.6260 eV per atom
energy relative to the elements = -0.48 eV per atom

Cell: 6.2672 6.2672 6.2672 Å, 90.00 90.00 90.00°
Last column: nearest neighbours and their distance in Å.
Space group Fm-3m (No. 225)
One atom of each set of equivalent atoms:
Ti: 0.0000 0.0000 0.0000  8 Al 2.71
Al: 0.2500 0.2500 0.2500  4 Ti 2.71, 4 Pd 2.71
Pd: 0.0000 0.0000 0.5000  8 Al 2.71


A geometry-optimized Sr2HgH12Rh3 structure, computed with PBE-GGA.

Computed properties:
VASP energy = -3.8715 eV per atom

Cell: 6.4770 6.4770 14.8216 Å, 90.00 90.00 120.00°
Last column: nearest neighbours and their distance in Å.
Space group R-3m (No. 166, hexagonal axes)
One atom of each set of equivalent atoms:
Sr: 0.0000 0.0000 0.1169  6 H 2.36-2.65
Hg: 0.0000 0.0000 0.5000  6 H 2.10
H: 0.0129 0.5065 0.8872  1 Rh 1.67
H: 0.0458 0.5229 0.3437  2 Rh 1.76
Rh: 0.0000 0.5000 0.0000  6 H 1.67-1.76


A geometry-optimized RbIn2IrC structure, computed with PBE-GGA.

Computed properties:
VASP energy = -2.1923 eV per atom
energy relative to the elements = 2.71 eV per atom

Cell: 6.0370 6.0370 4.5621 Å, 90.00 90.00 90.00°
Last column: nearest neighbours and their distance in Å.
Space group P4/mmm (No. 123)
One atom of each set of equivalent atoms:
Rb: 0.0000 0.0000 0.0000  2 C 2.28
In: 0.0000 0.5000 0.0000  2 Rb 3.02
Ir: 0.5000 0.5000 0.5000  8 In 3.78
C: 0.0000 0.0000 0.5000  2 Rb 2.28


A geometry-optimized PuSn2Te4 structure, computed with PBE-GGA.

Computed properties:
VASP energy = -5.4373 eV per atom
formation energy from raw total energies = -0.4510 eV/atom

Cell: 4.3173 14.7885 14.5494 Å, 90.00 90.00 90.00°
Last column: nearest neighbours and their distance in Å.
Space group Cmcm (No. 63)
One atom of each set of equivalent atoms:
Pu: 0.0000 0.1094 0.2500  6 Te 3.09-3.21
Sn: 0.0000 0.3650 0.0640  6 Te 3.05-3.21
Te: 0.0000 0.0000 0.0000  4 Sn 3.08
Te: 0.0000 0.2823 0.6291  3 Sn 3.06-3.21, 2 Pu 3.21
Te: 0.0000 0.4595 0.2500  2 Sn 3.05, 2 Pu 3.09


A geometry-optimized PIrBr2 structure, computed with PBE-GGA.

Computed properties:
VASP energy = -3.1502 eV per atom
ΔE to the lowest computed polymorph = 163.0 kJ per mole of atoms
formation energy from raw total energies = 1.2540 eV/atom

Cell: 3.2301 3.2301 7.2904 Å, 90.00 90.00 90.00°
Last column: nearest neighbours and their distance in Å.
Space group P4/mmm (No. 123)
One atom of each set of equivalent atoms:
P: 0.0000 0.0000 0.0000  8 Br 3.01, 4 P 3.23
Ir: 0.0000 0.0000 0.5000  8 Br 2.84
Br: 0.5000 0.5000 0.2691  4 Ir 2.84, 4 P 3.01


A geometry-optimized PmY3Sb2 structure, computed with PBE-GGA.

Computed properties:
VASP energy = -5.9993 eV per atom
ΔE to the lowest computed polymorph = 20.7 kJ per mole of atoms
formation energy from raw total energies = -0.6013 eV/atom

Cell: 7.0656 14.5748 7.5460 Å, 90.00 90.00 90.00°
Last column: nearest neighbours and their distance in Å.
Space group Ibam (No. 72)
One atom of each set of equivalent atoms:
Pm: 0.0000 0.0000 0.0000  2 Sb 3.19, 4 Y 3.54
Y: 0.0000 0.2053 0.2500  4 Sb 3.08-3.12
Y: 0.0000 0.5000 0.2500  4 Sb 3.11
Sb: 0.1687 0.3512 0.0000  6 Y 3.08-3.12, 1 Pm 3.19


A geometry-optimized AcGd2Th structure, computed with PBE-GGA.

Computed properties:
VASP energy = -9.8800 eV per atom
ΔE to the lowest computed polymorph = 0.0 kJ per mole of atoms
energy relative to the elements = 0.04 eV per atom

Cell: 3.6733 3.6733 10.4352 Å, 90.00 90.00 90.00°
Last column: nearest neighbours and their distance in Å.
Space group P4/mmm (No. 123)
One atom of each set of equivalent atoms:
Ac: 0.0000 0.0000 0.0000  4 Ac 3.67, 8 Gd 3.84
Gd: 0.5000 0.5000 0.2716  4 Th 3.53, 4 Gd 3.67, 4 Ac 3.84
Th: 0.0000 0.0000 0.5000  8 Gd 3.53, 4 Th 3.67


A geometry-optimized Cs12Hg5Br3 structure, computed with PBE-GGA.

Computed properties:
VASP energy = -1.3209 eV per atom
formation energy from raw total energies = -0.4824 eV/atom

Cell: 22.2487 22.2487 22.2487 Å, 90.00 90.00 90.00°
Last column: nearest neighbours and their distance in Å.
Space group Ia-3d (No. 230)
One atom of each set of equivalent atoms:
Cs: 0.0269 0.0847 0.6473  2 Hg 3.68-3.83, 1 Br 3.76
Hg: 0.0000 0.0000 0.0000  6 Cs 3.83
Hg: 0.0000 0.2500 0.3750  4 Cs 3.68
Br: 0.0000 0.2500 0.1250  4 Cs 3.76


A geometry-optimized KCaBr2 structure, computed with PBE-GGA.

Computed properties:
VASP energy = -3.0329 eV per atom
ΔE to the lowest computed polymorph = 6.0 kJ per mole of atoms
formation energy from raw total energies = -1.4217 eV/atom

Cell: 4.3034 4.3034 8.2553 Å, 90.00 90.00 90.00°
Last column: nearest neighbours and their distance in Å.
Space group P4mm (No. 99)
One atom of each set of equivalent atoms:
K: 0.0000 0.0000 0.0000  4 Br 3.34
Ca: 0.5000 0.5000 0.5112  5 Br 2.85-3.04
Br: 0.0000 0.0000 0.5052  4 Ca 3.04
Br: 0.5000 0.5000 0.1657  1 Ca 2.85


A geometry-optimized SnTe2Pb2 structure, computed with PBE-GGA.

Computed properties:
VASP energy = -3.6445 eV per atom
ΔE to the lowest computed polymorph = 0.0 kJ per mole of atoms
formation energy from raw total energies = -0.1040 eV/atom

Cell: 8.7226 8.7226 4.3062 Å, 90.00 90.00 90.00°
Last column: nearest neighbours and their distance in Å.
Space group P4/mbm (No. 127)
One atom of each set of equivalent atoms:
Sn: 0.0000 0.0000 0.0000  4 Te 3.29
Te: 0.1579 0.3421 0.0000  6 Pb 3.19-3.45, 2 Sn 3.29
Pb: 0.1516 0.6516 0.5000  6 Te 3.19-3.45


A geometry-optimized LiBeZn2 structure, computed with PBE-GGA.

Computed properties:
VASP energy = -2.0037 eV per atom
energy relative to the elements = 0.04 eV per atom

Cell: 2.8514 4.2887 8.3877 Å, 90.00 90.00 90.00°
Last column: nearest neighbours and their distance in Å.
Space group Immm (No. 71)
One atom of each set of equivalent atoms:
Li: 0.0000 0.0000 0.0000  4 Be 2.58, 8 Zn 2.71-2.86, 2 Li 2.85
Be: 0.0000 0.0000 0.5000  4 Zn 2.37, 4 Li 2.58
Zn: 0.0000 0.5000 0.2250  2 Be 2.37, 4 Zn 2.61


A geometry-optimized BeTl2Au structure, computed with PBE-GGA.

Computed properties:
VASP energy = -2.4194 eV per atom
ΔE to the lowest computed polymorph = 40.7 kJ per mole of atoms
energy relative to the elements = 0.51 eV per atom

Cell: 7.0732 7.0732 7.0732 Å, 90.00 90.00 90.00°
Last column: nearest neighbours and their distance in Å.
Space group F-43m (No. 216)
One atom of each set of equivalent atoms:
Be: 0.0000 0.0000 0.0000  4 Tl 3.06, 4 Au 3.06
Tl: 0.0000 0.0000 0.5000  4 Au 3.06, 4 Tl 3.06
Tl: 0.2500 0.2500 0.2500  4 Tl 3.06, 4 Be 3.06
Au: 0.2500 0.2500 0.7500  4 Be 3.06, 4 Tl 3.06


A geometry-optimized K5MnSe4 structure, computed with PBE-GGA.

Computed properties:
VASP energy = -3.8003 eV per atom
formation energy from raw total energies = -0.9408 eV/atom

Cell: 10.0386 10.2251 7.2738 Å, 90.00 90.00 90.00°
Last column: nearest neighbours and their distance in Å.
Space group Pmmn (No. 59, origin choice 2)
One atom of each set of equivalent atoms:
K: 0.0194 0.0576 0.2408  4 Se 3.22-3.33
K: 0.2500 0.7500 0.3570  4 Se 3.27
Mn: 0.2500 0.2500 0.7174  4 Se 2.47
Se: 0.0304 0.2500 0.8712  1 Mn 2.47
Se: 0.2500 0.0357 0.5594  1 Mn 2.47


A geometry-optimized ScFeGe3 structure, computed with PBE-GGA.

Computed properties:
VASP energy = -6.0892 eV per atom
energy relative to the elements = -0.36 eV per atom

Cell: 11.1613 5.4886 5.4147 Å, 90.00 90.00 90.00°
Last column: nearest neighbours and their distance in Å.
Space group Pbcm (No. 57)
One atom of each set of equivalent atoms:
Sc: 0.1953 0.0167 0.2500  9 Ge 2.83-2.93, 2 Fe 2.88
Fe: 0.3925 0.2500 0.0000  6 Ge 2.40-2.43
Ge: 0.0047 0.7500 0.0000  4 Ge 2.71-2.75, 4 Sc 2.91-2.92
Ge: 0.2769 0.5246 0.2500  2 Fe 2.40
Ge: 0.4422 0.6010 0.7500  4 Fe 2.42-2.43


A geometry-optimized AcGdZnRu structure, computed with PBE-GGA.

Computed properties:
VASP energy = -7.3430 eV per atom
energy relative to the elements = -0.16 eV per atom

Cell: 7.3041 7.3041 7.3041 Å, 90.00 90.00 90.00°
Last column: nearest neighbours and their distance in Å.
Space group F-43m (No. 216)
One atom of each set of equivalent atoms:
Ac: 0.0000 0.0000 0.0000  4 Ru 3.16, 4 Zn 3.16
Gd: 0.0000 0.0000 0.5000  4 Ru 3.16, 4 Zn 3.16
Zn: 0.2500 0.2500 0.2500  4 Gd 3.16, 4 Ac 3.16
Ru: 0.2500 0.2500 0.7500  4 Gd 3.16, 4 Ac 3.16


A geometry-optimized Sr4ZrBr structure, computed with PBE-GGA.

Computed properties:
VASP energy = -2.3219 eV per atom
formation energy from raw total energies = 0.5028 eV/atom

Cell: 10.2908 10.2908 10.2908 Å, 90.00 90.00 90.00°
Last column: nearest neighbours and their distance in Å.
Space group F-43m (No. 216)
One atom of each set of equivalent atoms:
Sr: 0.1240 0.1240 0.1240  6 Sr 3.61-3.67
Zr: 0.2500 0.2500 0.7500  12 Sr 4.26, 4 Br 4.46
Br: 0.0000 0.0000 0.5000  12 Sr 4.27, 4 Zr 4.46


A geometry-optimized Zn4InAg structure, computed with PBE-GGA.

Computed properties:
VASP energy = -1.7364 eV per atom
energy relative to the elements = 0.04 eV per atom

Cell: 7.4512 7.4512 7.4512 Å, 90.00 90.00 90.00°
Last column: nearest neighbours and their distance in Å.
Space group F-43m (No. 216)
One atom of each set of equivalent atoms:
Zn: 0.1242 0.1242 0.3758  6 Zn 2.62-2.65
In: 0.0000 0.0000 0.0000  12 Zn 3.09, 4 Ag 3.23
Ag: 0.2500 0.2500 0.7500  12 Zn 3.09, 4 In 3.23


A geometry-optimized KNaPbW2 structure, computed with PBE-GGA.

Computed properties:
VASP energy = -3.3855 eV per atom
energy relative to the elements = 3.02 eV per atom

Cell: 4.7877 4.7877 5.7511 Å, 90.00 90.00 90.00°
Last column: nearest neighbours and their distance in Å.
Space group P4/mmm (No. 123)
One atom of each set of equivalent atoms:
K: 0.0000 0.0000 0.0000  4 W 2.39
Na: 0.5000 0.5000 0.5000  4 Pb 3.39, 8 W 3.74
Pb: 0.0000 0.0000 0.5000  2 K 2.88
W: 0.0000 0.5000 0.0000  2 K 2.39